Pr2Al4Zn3Ag PBE optimized geometry; DFT formation energy = -0.401 eV per atom; electronic total energy = -35.21 eV for the cell shown
1.0
4.3020 0.0000 0.0000
0.0000 4.3020 0.0000
0.0000 0.0000 10.8363
Pr Al Zn Ag
2 4 3 1
Direct
0.0000 0.5000 0.2464 Pr
0.5000 0.0000 0.7536 Pr
0.0000 0.0000 0.0000 Al
0.0000 0.5000 0.6342 Al
0.5000 0.0000 0.3658 Al
0.5000 0.5000 0.0000 Al
0.0000 0.5000 0.8643 Zn
0.5000 0.0000 0.1357 Zn
0.5000 0.5000 0.5000 Zn
0.0000 0.0000 0.5000 Ag